No. 1
## PrNd5Dy5 (GGA-PBE)

Data for a geometry-optimized PrNd5Dy5 structure.

Cell and atoms, written as POSCAR:
```
PrNd5Dy5
1.0
9.5261 -3.0250 0.0000
9.5261 3.0250 0.0000
-2.5887 0.0000 6.5620
Pr Nd Dy
1 5 5
Cartesian
0.0000 0.0000 0.0000
2.2693 0.0000 2.7605
0.9437 0.0000 6.1192
9.5261 0.0000 0.0000
15.5198 0.0000 0.4428
14.1941 0.0000 3.8015
-1.2943 0.0000 3.2810
4.1381 0.0000 5.4380
6.2003 0.0000 2.4610
10.2631 0.0000 4.1010
12.3253 0.0000 1.1240
```

Its space-group type is C2/m (12). The density comes out at 7.35 g cm⁻³. The calculation puts the uncorrected energy at -4.444 eV/atom. The value obtained for the total moment is 0.4 μB per cell. The energy above the most stable polymorph in this dataset comes out at 0.000 eV per atom.


No. 2
## Pr6NdDy3 (GGA-PBE)

Data for a geometry-optimized Pr6NdDy3 structure.

Cell and atoms, written as POSCAR:
```
Pr6NdDy3
1.0
4.9493 -10.8042 0.0000
4.9493 10.8042 0.0000
0.0000 0.0000 6.5466
Pr Nd Dy
12 2 6
Cartesian
4.9493 10.5111 3.2733
3.2278 4.7099 6.2686
3.1801 1.2889 4.6371
4.9493 4.3426 3.1328
3.1801 -1.2889 1.3638
6.6708 4.7099 6.2686
3.2278 -4.7099 2.9953
6.7184 1.2889 4.6371
4.9493 -4.3426 6.4062
6.7184 -1.2889 1.3638
6.6708 -4.7099 2.9953
4.9493 -10.5111 0.0000
4.9493 7.4756 1.7859
4.9493 -7.4756 5.0592
1.6628 2.7551 1.9505
1.6628 -2.7551 5.2238
4.9493 1.7454 1.2384
4.9493 -1.7454 4.5117
8.2357 2.7551 1.9505
8.2357 -2.7551 5.2238
```

Its space-group type is Cmc2_1 (36). The density comes out at 7.01 g cm⁻³. The calculation puts the uncorrected energy at -4.603 eV/atom. The value obtained for the total moment is 0.0 μB per cell. The energy above the most stable polymorph in this dataset comes out at 0.000 eV per atom.


No. 3
## PrNd12Dy3 (GGA-PBE)

Data for a geometry-optimized PrNd12Dy3 structure.

Cell and atoms, written as POSCAR:
```
PrNd12Dy3
1.0
5.1727 0.0000 0.0000
0.0000 5.1727 0.0000
0.0000 0.0000 20.6489
Pr Nd Dy
1 12 3
Cartesian
0.0000 0.0000 0.0000
0.0000 2.5863 2.6264
0.0000 2.5863 7.7582
0.0000 2.5863 12.8907
0.0000 2.5863 18.0225
2.5863 0.0000 2.6264
2.5863 0.0000 7.7582
2.5863 0.0000 12.8907
2.5863 0.0000 18.0225
2.5863 2.5863 0.0000
2.5863 2.5863 5.2045
2.5863 2.5863 10.3245
2.5863 2.5863 15.4444
0.0000 0.0000 5.1946
0.0000 0.0000 10.3245
0.0000 0.0000 15.4543
```

Its space-group type is P4/mmm (123). The density comes out at 7.09 g cm⁻³. The calculation puts the uncorrected energy at -4.724 eV/atom. The value obtained for the total moment is 0.0 μB per cell.


No. 4
## Pr5Nd2Dy12 (GGA-PBE)

Data for a geometry-optimized Pr5Nd2Dy12 structure.

Cell and atoms, written as POSCAR:
```
Pr5Nd2Dy12
1.0
9.2430 -3.5630 0.0000
9.2430 3.5630 0.0000
-3.7773 0.0000 9.7345
Pr Nd Dy
5 2 12
Cartesian
0.0000 0.0000 0.0000
0.9032 0.0000 6.6532
4.8175 0.0000 2.7919
9.8911 0.0000 6.9426
13.8054 0.0000 3.0813
7.3543 1.5753 4.8672
7.3543 -1.5753 4.8672
-2.3455 0.0000 7.2480
3.9291 1.8008 6.1567
2.5294 1.7596 9.5409
10.7795 1.8008 3.5778
12.1792 1.7596 0.1936
6.0599 0.0000 8.0521
8.6487 0.0000 1.6824
2.5294 -1.7596 9.5409
3.9291 -1.8008 6.1567
12.1792 -1.7596 0.1936
10.7795 -1.8008 3.5778
17.0541 0.0000 2.4865
```

Its space-group type is C2/m (12). The density comes out at 7.62 g cm⁻³. The calculation puts the uncorrected energy at -4.494 eV/atom. The value obtained for the total moment is 0.0 μB per cell. The energy above the most stable polymorph in this dataset comes out at 0.047 eV per atom.


No. 5
## PrNdDy2 (GGA-PBE)

Data for a geometry-optimized PrNdDy2 structure.

Cell and atoms, written as POSCAR:
```
PrNdDy2
1.0
1.8170 1.0491 11.7461
-1.8170 1.0491 11.7461
0.0000 -2.0981 11.7461
Pr Nd Dy
1 1 2
Cartesian
0.0000 0.0000 0.0000
0.0000 0.0000 29.3833
0.0000 0.0000 8.8033
0.0000 0.0000 14.7295
```

Its space-group type is R3m (160). The density comes out at 7.54 g cm⁻³. The calculation puts the uncorrected energy at -4.669 eV/atom. The value obtained for the total moment is 0.0 μB per cell. The energy above the most stable polymorph in this dataset comes out at 0.007 eV per atom.


No. 6
## PrNd5Dy2 (GGA-PBE)

Data for a geometry-optimized PrNd5Dy2 structure.

Cell and atoms, written as POSCAR:
```
PrNd5Dy2
1.0
7.2994 0.0000 0.0000
0.0000 14.5994 0.0000
0.0000 0.0000 5.1554
Pr Nd Dy
2 10 4
Cartesian
0.0000 0.0000 0.0000
3.6497 7.2997 0.0000
0.0000 7.2997 0.0000
0.0039 3.6539 0.0000
1.8206 9.1293 2.5777
1.8291 1.8296 2.5777
3.6458 10.9536 0.0000
3.6497 0.0000 0.0000
3.6536 3.6458 0.0000
5.4703 12.7698 2.5777
5.4788 5.4701 2.5777
7.2955 10.9455 0.0000
1.8259 5.4734 2.5777
1.8238 12.7731 2.5777
5.4756 1.8263 2.5777
5.4735 9.1260 2.5777
```

Its space-group type is Pbam (55). The density comes out at 7.18 g cm⁻³. The calculation puts the uncorrected energy at -4.715 eV/atom. The value obtained for the total moment is 0.0 μB per cell. The energy above the most stable polymorph in this dataset comes out at 0.000 eV per atom.


No. 7
## Pr2Nd9Dy3 (GGA-PBE)

Data for a geometry-optimized Pr2Nd9Dy3 structure.

Cell and atoms, written as POSCAR:
```
Pr2Nd9Dy3
1.0
9.1978 0.0000 0.0000
-4.5989 7.9655 0.0000
0.0000 0.0000 13.8889
Pr Nd Dy
4 18 6
Cartesian
0.0000 5.3103 1.9366
0.0000 5.3103 5.0078
4.5989 2.6552 8.8811
4.5989 2.6552 11.9523
-1.4611 3.8365 10.4167
-2.1424 5.7682 7.5076
-2.1424 5.7682 13.3258
0.6747 3.2261 7.5076
0.6747 3.2261 13.3258
-0.5459 7.3127 10.4167
3.1312 1.0288 0.5632
3.1312 1.0288 6.3813
2.5919 3.1836 3.4722
2.0070 4.7819 10.4167
1.4677 6.9367 7.5076
1.4677 6.9367 13.3258
5.1447 0.6529 3.4722
3.9242 4.7394 0.5632
3.9242 4.7394 6.3813
6.7413 2.1973 0.5632
6.7413 2.1973 6.3813
6.0600 4.1291 3.4722
-0.4330 1.9750 3.4722
-2.6720 7.3530 3.4722
1.4939 1.3624 10.4167
3.1050 6.6031 3.4722
7.2709 0.6125 10.4167
5.0318 5.9905 10.4167
```

Its space-group type is P6_3/m (176). The density comes out at 6.75 g cm⁻³. The calculation puts the uncorrected energy at -4.491 eV/atom. The value obtained for the total moment is 0.0 μB per cell.


No. 8
## PrNd2Dy6 (GGA-PBE)

Data for a geometry-optimized PrNd2Dy6 structure.

Cell and atoms, written as POSCAR:
```
PrNd2Dy6
1.0
7.5533 0.0000 0.0000
-3.7766 6.5413 0.0000
0.0000 0.0000 6.0628
Pr Nd Dy
1 2 6
Cartesian
0.0000 0.0000 0.0000
0.0000 4.3609 4.7599
3.7766 2.1804 1.3029
0.0000 2.4543 1.7883
-1.6511 5.3142 1.7883
2.1255 1.2272 4.2745
1.6511 5.3142 1.7883
5.4278 1.2272 4.2745
3.7766 4.0870 4.2745
```

Its space-group type is P-3m1 (164). The density comes out at 7.78 g cm⁻³. The calculation puts the uncorrected energy at -4.438 eV/atom. The value obtained for the total moment is 0.0 μB per cell. The energy above the most stable polymorph in this dataset comes out at 0.118 eV per atom.


No. 9
## Pr3NdDy12 (GGA-PBE)

Data for a geometry-optimized Pr3NdDy12 structure.

Cell and atoms, written as POSCAR:
```
Pr3NdDy12
1.0
5.0650 0.0000 0.0000
0.0000 5.0650 0.0000
0.0000 0.0000 20.2654
Pr Nd Dy
3 1 12
Cartesian
0.0000 0.0000 0.0000
0.0000 0.0000 5.0712
0.0000 0.0000 15.1942
0.0000 0.0000 10.1327
0.0000 2.5325 2.5369
0.0000 2.5325 7.6093
0.0000 2.5325 12.6561
0.0000 2.5325 17.7285
2.5325 0.0000 2.5369
2.5325 0.0000 7.6093
2.5325 0.0000 12.6561
2.5325 0.0000 17.7285
2.5325 2.5325 0.0000
2.5325 2.5325 5.0727
2.5325 2.5325 10.1327
2.5325 2.5325 15.1927
```

Its space-group type is P4/mmm (123). The density comes out at 8.04 g cm⁻³. The calculation puts the uncorrected energy at -4.625 eV/atom. The value obtained for the total moment is 0.0 μB per cell.


No. 10
## Pr5Nd2Dy4 (GGA-PBE)

Data for a geometry-optimized Pr5Nd2Dy4 structure.

Cell and atoms, written as POSCAR:
```
Pr5Nd2Dy4
1.0
8.9983 -1.7901 0.0000
8.9983 1.7901 0.0000
-0.8121 0.0000 11.7744
Pr Nd Dy
5 2 4
Cartesian
0.0000 0.0000 0.0000
5.0748 0.0000 10.9440
6.8989 0.0000 5.4659
10.2856 0.0000 6.3085
12.1097 0.0000 0.8304
3.6109 0.0000 4.1485
13.5736 0.0000 7.6259
1.8680 0.0000 9.3943
7.8116 0.0000 8.7211
9.3729 0.0000 3.0533
15.3165 0.0000 2.3801
```

Its space-group type is C2/m (12). The density comes out at 7.19 g cm⁻³. The calculation puts the uncorrected energy at -4.643 eV/atom. The value obtained for the total moment is 0.0 μB per cell. The energy above the most stable polymorph in this dataset comes out at 0.000 eV per atom.